MnAl2AsO8, optimized geometry, DFT PBE with a Hubbard U; E = -6.811 eV/atom
1.0
-1.6440 3.9403 -1.1897
-3.4621 -0.8045 2.6499
2.7907 2.4938 4.4032
Al O As Mn
2 8 1 1
Direct
0.5000 0.5000 0.7508
0.5000 0.5000 0.2492
0.6931 0.6927 0.5000
0.3009 0.3013 0.0000
0.1932 0.8072 0.2419
0.8068 0.1928 0.7581
0.1932 0.8072 0.7581
0.8068 0.1928 0.2419
0.3069 0.3073 0.5000
0.6991 0.6987 0.0000
0.0000 0.0000 0.0000
0.0000 0.0000 0.5000